(1)
Here is a geometry-optimized HBr structure from Alexandria via LeMat-Bulk. Energies are from GGA-PBE.

extended XYZ file:
```
16
Lattice="-8.2667 2.1963 6.2314 -6.5828 -3.5941 -7.4661 0.2345 -4.0170 1.7269" Properties=species:S:1:pos:R:3 pbc="T T T"
H -8.8342 -2.2313 -3.9904
H -11.1235 -0.3237 0.7578
H -5.0561 -4.0702 -3.2296
H -11.0335 -3.7815 -1.7463
H -3.7260 -1.0741 -1.9924
H -3.5815 -1.6333 2.2386
H -9.5589 -1.3446 3.7218
H -6.0153 0.8335 2.7557
Br -2.1486 -1.5086 2.3341
Br -9.6906 -0.1990 0.8532
Br -8.9710 -1.6713 -2.6692
Br -5.8785 0.2735 1.4346
Br -4.9193 -4.6302 -4.5507
Br -9.6957 -0.7846 5.0430
Br -12.4664 -3.9062 -1.8418
Br -5.1589 -1.1988 -2.0879
```

Summary:
- Energy: -2.738 eV/atom
- Theoretical density: 2.19 Mg/m³
- V: 30.65 A^3/atom
- DOS at the Fermi energy: 0.00 states/eV/cell


(2)
Here is a geometry-optimized KNb2Sb structure from Alexandria via LeMat-Bulk. Energies are from GGA-PBE.

extended XYZ file:
```
8
Lattice="-1.8380 -2.7060 7.6900 -6.6860 -4.0099 -3.0090 -2.6224 -5.7534 1.8894" Properties=species:S:1:pos:R:3 pbc="T T T"
K -4.2620 -3.3579 2.3405
K -6.7852 -6.5606 0.6104
Nb -4.9723 -4.1476 -0.8313
Nb -4.8292 -6.6331 3.3228
Nb -2.7319 -3.7660 5.2867
Nb -9.7593 -10.3917 5.3625
Sb 0.0000 0.0000 0.0000
Sb -4.3612 -5.9086 5.9599
```

Summary:
- Theoretical density: 5.61 Mg/m³
- V: 25.64 A^3/atom
- DOS at the Fermi energy: 6.51 states/eV/cell
- Formation energy from raw total energies: 1.096 eV per atom


(3)
Here is a geometry-optimized HoEr6Pu structure from Alexandria via LeMat-Bulk. Energies are from GGA-PBE.

extended XYZ file:
```
8
Lattice="-5.3307 -1.6905 -0.2577 1.7079 -4.6090 -5.0930 0.2949 -1.9654 6.7959" Properties=species:S:1:pos:R:3 pbc="T T T"
Er -2.1354 -3.2512 4.6945
Er -1.2783 -5.5643 2.1385
Er 0.6269 -1.8893 -0.5741
Er 1.4687 -4.1611 -3.0844
Er 0.7660 -2.8472 2.8335
Er -2.2837 -2.2637 1.2827
Ho -3.7164 -6.8205 0.0078
Pu -1.4288 -4.5720 -1.2600
```

Summary:
- Energy: -5.732 eV/atom
- Theoretical density: 9.65 Mg/m³
- V: 30.38 A^3/atom
- DOS at the Fermi energy: 19.80 states/eV/cell


(4)
Here is a geometry-optimized Ba2Sn2BiAu6 structure from Alexandria via LeMat-Bulk. Energies are from GGA-PBE.

extended XYZ file:
```
11
Lattice="-2.4356 6.1570 -3.0082 -5.0934 -0.2530 -5.1849 -8.7451 2.4818 3.3694" Properties=species:S:1:pos:R:3 pbc="T T T"
Au -11.0886 2.9472 -2.5718
Au -7.9727 3.1020 0.6000
Au -8.3015 5.2839 -5.4237
Au -5.1856 5.4387 -2.2519
Au -9.4626 6.8685 -1.2402
Au -6.8115 1.5173 -3.5835
Bi 0.0000 0.0000 0.0000
Sn -9.1682 4.2779 -1.4031
Sn -7.1060 4.1080 -3.4206
Ba -4.7592 2.1534 -0.5303
Ba -11.5150 6.2325 -4.2934
```

Summary:
- Energy: -3.533 eV/atom
- Theoretical density: 7.89 Mg/m³
- V: 36.39 A^3/atom
- DOS at the Fermi energy: 4.21 states/eV/cell


> Which formula does entry 3 have?

HoEr6Pu